No. 1
Entry from the Alexandria database: crystalline ThGeHRh at its relaxed geometry (PBE).

Unit cell a=4.191 b=4.191 c=7.351 alpha=90.00 beta=90.00 gamma=90.00
Fractional positions:
Th 0.250 0.250 0.171
Th 0.750 0.750 0.829
Ge 0.250 0.250 0.695
Ge 0.750 0.750 0.305
H 0.250 0.750 0.000
H 0.750 0.250 0.000
Rh 0.250 0.750 0.500
Rh 0.750 0.250 0.500

## Properties
- Density of states at the Fermi level: 0.4614 states/eV/atom
- SG: No. 129
- Density: 10.5 g cm⁻³
- Total DFT energy (no corrections): -52.1 eV for the cell shown

=====

No. 2
Entry from the Alexandria database: crystalline Ba4TlGaI2 at its relaxed geometry (PBE).

Unit cell a=8.265 b=4.694 c=9.719 alpha=90.00 beta=105.90 gamma=90.00
Fractional positions:
Ba 0.238 0.000 0.229
Ba 0.249 0.500 0.765
Ba 0.751 0.500 0.235
Ba 0.762 0.000 0.771
Tl 0.500 0.000 0.000
Ga 0.000 0.500 0.000
I 0.000 0.000 0.500
I 0.500 0.500 0.500

## Properties
- Uncorrected formation energy: -0.828 eV/atom
- Density of states at the Fermi level: 0.8183 states/eV/atom
- SG: No. 10
- Density: 4.9 g cm⁻³

=====

No. 3
Entry from the Alexandria database: crystalline Nd11Tl9Ag4 at its relaxed geometry (PBE).

Unit cell a=13.795 b=13.795 c=3.883 alpha=90.00 beta=90.00 gamma=113.00
Fractional positions:
Nd 0.000 0.000 0.000
Nd 0.064 0.410 0.000
Nd 0.164 0.836 0.000
Nd 0.299 0.299 0.000
Nd 0.367 0.633 0.000
Nd 0.410 0.064 0.000
Nd 0.590 0.936 0.000
Nd 0.633 0.367 0.000
Nd 0.701 0.701 0.000
Nd 0.836 0.164 0.000
Nd 0.936 0.590 0.000
Tl 0.067 0.214 0.500
Tl 0.156 0.629 0.500
Tl 0.214 0.067 0.500
Tl 0.371 0.844 0.500
Tl 0.500 0.500 0.500
Tl 0.629 0.156 0.500
Tl 0.786 0.933 0.500
Tl 0.844 0.371 0.500
Tl 0.933 0.786 0.500
Ag 0.249 0.448 0.500
Ag 0.448 0.249 0.500
Ag 0.552 0.751 0.500
Ag 0.751 0.552 0.500

## Properties
- Density of states at the Fermi level: 0.8658 states/eV/atom
- SG: No. 65
- Density: 9.4 g cm⁻³
- Calculated formation energy: -338.7 meV per atom

=====

No. 4
Entry from the Alexandria database: crystalline ZnInAuCl at its relaxed geometry (PBE).

Unit cell a=4.699 b=4.700 c=6.429 alpha=68.77 beta=68.61 gamma=60.63
Fractional positions:
Zn 0.000 0.000 0.000
In 0.280 0.283 0.153
Au 0.641 0.646 0.071
Cl 0.073 0.195 0.594

## Properties
- Uncorrected formation energy: -0.400 eV/atom
- Density of states at the Fermi level: 0.2406 states/eV/atom
- SG: No. 1
- Density: 6.1 g cm⁻³
- ΔE to the lowest computed polymorph: 0.0 meV per atom

=====

No. 5
Entry from the Alexandria database: crystalline ZrAs2Pb at its relaxed geometry (PBE).

Unit cell a=4.047 b=4.047 c=5.856 alpha=90.00 beta=90.00 gamma=90.00
Fractional positions:
Zr 0.000 0.000 0.000
As 0.000 0.000 0.500
As 0.500 0.500 0.001
Pb 0.500 0.500 0.502

## Properties
- Density of states at the Fermi level: 0.2829 states/eV/atom
- SG: No. 99
- Density: 7.8 g cm⁻³
- Calculated formation energy: -373.7 meV per atom

=====

No. 6
Entry from the Alexandria database: crystalline Sc2TiCo at its relaxed geometry (PBE).

Unit cell a=5.909 b=5.909 c=5.909 alpha=102.76 beta=102.76 gamma=123.94
Fractional positions:
Sc 0.067 0.125 0.442
Sc 0.375 0.933 0.058
Sc 0.683 0.625 0.558
Sc 0.875 0.317 0.942
Ti 0.250 0.750 0.500
Ti 0.500 0.500 0.000
Co 0.000 0.000 0.000
Co 0.750 0.250 0.500

## Properties
- Density of states at the Fermi level: 0.8568 states/eV/atom
- SG: No. 122
- Density: 4.3 g cm⁻³
- ΔE to the lowest computed polymorph: 301.8 meV per atom
- Calculated formation energy: 181.9 meV per atom

=====

No. 7
Entry from the Alexandria database: crystalline Ce3Te12Pb5 at its relaxed geometry (PBE).

Unit cell a=15.939 b=15.939 c=15.939 alpha=109.47 beta=109.47 gamma=109.47
Fractional positions:
Ce 0.125 0.250 0.375
Ce 0.125 0.375 0.750
Ce 0.250 0.375 0.125
Ce 0.250 0.875 0.625
Ce 0.375 0.125 0.250
Ce 0.375 0.750 0.125
Ce 0.625 0.250 0.875
Ce 0.625 0.875 0.750
Ce 0.750 0.125 0.375
Ce 0.750 0.625 0.875
Ce 0.875 0.625 0.250
Ce 0.875 0.750 0.625
Te 0.059 0.228 0.142
Te 0.059 0.332 0.917
Te 0.083 0.642 0.414
Te 0.083 0.941 0.668
Te 0.086 0.728 0.668
Te 0.086 0.858 0.417
Te 0.142 0.059 0.228
Te 0.142 0.583 0.914
Te 0.168 0.228 0.586
Te 0.168 0.441 0.583
Te 0.228 0.142 0.059
Te 0.228 0.586 0.168
Te 0.272 0.332 0.914
Te 0.272 0.441 0.358
Te 0.332 0.914 0.272
Te 0.332 0.917 0.059
Te 0.358 0.272 0.441
Te 0.358 0.586 0.917
Te 0.414 0.083 0.642
Te 0.414 0.832 0.772
Te 0.417 0.086 0.858
Te 0.417 0.832 0.559
Te 0.441 0.358 0.272
Te 0.441 0.583 0.168
Te 0.559 0.417 0.832
Te 0.559 0.642 0.728
Te 0.583 0.168 0.441
Te 0.583 0.914 0.142
Te 0.586 0.168 0.228
Te 0.586 0.917 0.358
Te 0.642 0.414 0.083
Te 0.642 0.728 0.559
Te 0.668 0.083 0.941
Te 0.668 0.086 0.728
Te 0.728 0.559 0.642
Te 0.728 0.668 0.086
Te 0.772 0.414 0.832
Te 0.772 0.858 0.941
Te 0.832 0.559 0.417
Te 0.832 0.772 0.414
Te 0.858 0.417 0.086
Te 0.858 0.941 0.772
Te 0.914 0.142 0.583
Te 0.914 0.272 0.332
Te 0.917 0.059 0.332
Te 0.917 0.358 0.586
Te 0.941 0.668 0.083
Te 0.941 0.772 0.858
Pb 0.000 0.000 0.000
Pb 0.000 0.000 0.500
Pb 0.000 0.500 0.000
Pb 0.000 0.500 0.500
Pb 0.125 0.750 0.875
Pb 0.125 0.875 0.250
Pb 0.250 0.125 0.875
Pb 0.250 0.625 0.375
Pb 0.375 0.250 0.625
Pb 0.375 0.625 0.750
Pb 0.500 0.000 0.000
Pb 0.500 0.000 0.500
Pb 0.500 0.500 0.000
Pb 0.500 0.500 0.500
Pb 0.625 0.375 0.250
Pb 0.625 0.750 0.375
Pb 0.750 0.375 0.625
Pb 0.750 0.875 0.125
Pb 0.875 0.125 0.750
Pb 0.875 0.250 0.125

## Properties
- Uncorrected formation energy: -0.564 eV/atom
- Density of states at the Fermi level: 1.0165 states/eV/atom
- SG: No. 230
- Density: 6.4 g cm⁻³

=====

No. 8
Entry from the Alexandria database: crystalline Fe2Ge2Rh at its relaxed geometry (PBE).

Unit cell a=6.405 b=6.405 c=6.405 alpha=148.59 beta=148.59 gamma=45.01
Fractional positions:
Fe 0.250 0.750 0.500
Fe 0.750 0.250 0.500
Ge 0.106 0.106 0.000
Ge 0.894 0.894 0.000
Rh 0.500 0.500 0.000

## Properties
- Density of states at the Fermi level: 1.0047 states/eV/atom
- SG: No. 139
- Density: 8.4 g cm⁻³
- ΔE to the lowest computed polymorph: 208.2 meV per atom
- Calculated formation energy: 140.1 meV per atom

=====

No. 9
Entry from the Alexandria database: crystalline BaMnIn2 at its relaxed geometry (PBE).

Unit cell a=3.808 b=3.808 c=8.018 alpha=90.00 beta=90.00 gamma=90.00
Fractional positions:
Ba 0.000 0.000 0.000
Mn 0.500 0.500 0.684
In 0.000 0.000 0.550
In 0.500 0.500 0.316

## Properties
- Density of states at the Fermi level: 0.9650 states/eV/atom
- SG: No. 99
- Density: 6.0 g cm⁻³
- Calculated formation energy: 141.5 meV per atom

=====

No. 10
Entry from the Alexandria database: crystalline Sb2HPd at its relaxed geometry (PBE).

Unit cell a=5.758 b=5.758 c=5.758 alpha=110.40 beta=110.40 gamma=107.63
Fractional positions:
Sb 0.064 0.625 0.939
Sb 0.375 0.314 0.439
Sb 0.686 0.125 0.061
Sb 0.875 0.936 0.561
H 0.000 0.000 0.000
H 0.750 0.250 0.500
Pd 0.250 0.750 0.500
Pd 0.500 0.500 0.000

## Properties
- Density of states at the Fermi level: 0.5546 states/eV/atom
- SG: No. 122
- Density: 7.9 g cm⁻³
- ΔE to the lowest computed polymorph: 231.0 meV per atom

=====

No. 11
Entry from the Alexandria database: crystalline Eu2GaSi at its relaxed geometry (PBE).

Unit cell a=5.229 b=5.229 c=5.229 alpha=60.00 beta=60.00 gamma=60.00
Fractional positions:
Eu 0.250 0.250 0.250
Eu 0.750 0.750 0.750
Ga 0.000 0.000 0.000
Si 0.500 0.500 0.500

## Properties
- Uncorrected formation energy: -0.396 eV/atom
- Density of states at the Fermi level: 2.5003 states/eV/atom
- SG: No. 225
- Density: 6.6 g cm⁻³
- ΔE to the lowest computed polymorph: 0.0 meV per atom

=====

No. 12
Entry from the Alexandria database: crystalline RbBiAuSe2 at its relaxed geometry (PBE).

Unit cell a=8.493 b=8.493 c=5.946 alpha=90.00 beta=90.00 gamma=134.21
Fractional positions:
Rb 0.250 0.750 0.757
Rb 0.750 0.250 0.243
Bi 0.250 0.250 0.000
Bi 0.750 0.750 0.000
Au 0.000 0.000 0.500
Au 0.500 0.500 0.500
Se 0.133 0.867 0.265
Se 0.367 0.633 0.265
Se 0.633 0.367 0.735
Se 0.867 0.133 0.735

## Properties
- Uncorrected formation energy: -0.427 eV/atom
- Density of states at the Fermi level: 0.2563 states/eV/atom
- SG: No. 67
- Density: 7.0 g cm⁻³